PIr2: PBEsol geometry, SCAN.

Geometry as CIF:
```
data_PIr2
_chemical_formula_sum 'P4 Ir8'
_space_group_name_H-M_alt 'F m -3 m'
_space_group_IT_number 225
_space_group_name_Hall '-F 4 2 3'
_cell_length_a 5.536
_cell_length_b 5.536
_cell_length_c 5.536
_cell_angle_alpha 90.00
_cell_angle_beta 90.00
_cell_angle_gamma 90.00
loop_
_atom_site_label
_atom_site_fract_x
_atom_site_fract_y
_atom_site_fract_z
P1 0.000 0.000 0.000
Ir1 0.250 0.250 0.250
```

Calculated values
Crystal system = cubic
Energy relative to the elements = -0.476 eV per atom
Electronic total energy = -51.342 eV per atom
Total magnetization = 0.00 μB/atom
Density = 16261 kg/m3

CoIrRu2: PBEsol geometry, SCAN.

Geometry as CIF:
```
data_CoIrRu2
_chemical_formula_sum 'Co2 Ir2 Ru4'
_space_group_name_H-M_alt 'C m m m'
_space_group_IT_number 65
_space_group_name_Hall '-C 2 2'
_cell_length_a 5.200
_cell_length_b 7.473
_cell_length_c 2.632
_cell_angle_alpha 90.00
_cell_angle_beta 90.00
_cell_angle_gamma 90.00
loop_
_atom_site_label
_atom_site_fract_x
_atom_site_fract_y
_atom_site_fract_z
Co1 0.000 0.000 0.000
Ir1 0.000 0.500 0.000
Ru1 0.250 0.250 0.500
```

Calculated values
Crystal system = orthorhombic
Energy relative to the elements = 0.142 eV per atom
Electronic total energy = -39.372 eV per atom
Total magnetization = 0.25 μB/atom
Density = 14715 kg/m3

Cu2ReCl: PBEsol geometry, SCAN.

Geometry as CIF:
```
data_Cu2ReCl
_chemical_formula_sum 'Cu4 Re2 Cl2'
_space_group_name_H-M_alt 'I m m 2'
_space_group_IT_number 44
_cell_length_a 2.742
_cell_length_b 3.925
_cell_length_c 11.974
_cell_angle_alpha 90.00
_cell_angle_beta 90.00
_cell_angle_gamma 90.00
loop_
_space_group_symop_operation_xyz
'x,y,z'
'-x,-y,z'
'-x,y,z'
'x,-y,z'
'x+1/2,y+1/2,z+1/2'
'-x+1/2,-y+1/2,z+1/2'
'-x+1/2,y+1/2,z+1/2'
'x+1/2,-y+1/2,z+1/2'
loop_
_atom_site_label
_atom_site_fract_x
_atom_site_fract_y
_atom_site_fract_z
Cu1 0.000 0.000 0.000
Cu2 0.000 0.500 0.117
Re1 0.000 0.500 0.685
Cl1 0.000 0.000 0.348
```

Calculated values
Crystal system = orthorhombic
Relative energy among the computed polymorphs = 78 meV per atom
Electronic total energy = -26.851 eV per atom
Total magnetization = 0.01 μB/atom
Density = 8987 kg/m3

TlPtAuO2: PBEsol geometry, SCAN.

Geometry as CIF:
```
data_TlPtAuO2
_chemical_formula_sum 'Tl1 Pt1 Au1 O2'
_space_group_name_H-M_alt 'P 4/m m m'
_space_group_IT_number 123
_space_group_name_Hall '-P 4 2'
_cell_length_a 3.811
_cell_length_b 3.811
_cell_length_c 6.194
_cell_angle_alpha 90.00
_cell_angle_beta 90.00
_cell_angle_gamma 90.00
loop_
_atom_site_label
_atom_site_fract_x
_atom_site_fract_y
_atom_site_fract_z
Tl1 0.000 0.000 0.000
Pt1 0.000 0.000 0.500
Au1 0.500 0.500 0.000
O1 0.000 0.500 0.500
```

Calculated values
Crystal system = tetragonal
Electronic total energy = -44.863 eV per atom
Total magnetization = 0.31 μB/atom
Density = 11602 kg/m3

HgRhAu: PBEsol geometry, SCAN.

Geometry as CIF:
```
data_HgRhAu
_chemical_formula_sum 'Hg4 Rh4 Au4'
_space_group_name_H-M_alt 'F -4 3 m'
_space_group_IT_number 216
_space_group_name_Hall 'F -4 2 3'
_cell_length_a 6.194
_cell_length_b 6.194
_cell_length_c 6.194
_cell_angle_alpha 90.00
_cell_angle_beta 90.00
_cell_angle_gamma 90.00
loop_
_atom_site_label
_atom_site_fract_x
_atom_site_fract_y
_atom_site_fract_z
Hg1 0.000 0.000 0.000
Rh1 0.250 0.250 0.250
Au1 0.250 0.250 0.750
```

Calculated values
Crystal system = cubic
Energy relative to the elements = 0.528 eV per atom
Electronic total energy = -56.504 eV per atom
Total magnetization = 0.00 μB/atom
Density = 13988 kg/m3

KNa2Hg2: PBEsol geometry, SCAN.

Geometry as CIF:
```
data_KNa2Hg2
_chemical_formula_sum 'K2 Na4 Hg4'
_space_group_name_H-M_alt 'P 4/m b m'
_space_group_IT_number 127
_space_group_name_Hall '-P 4 2ab'
_cell_length_a 8.841
_cell_length_b 8.841
_cell_length_c 3.830
_cell_angle_alpha 90.00
_cell_angle_beta 90.00
_cell_angle_gamma 90.00
loop_
_atom_site_label
_atom_site_fract_x
_atom_site_fract_y
_atom_site_fract_z
K1 0.000 0.000 0.000
Na1 0.170 0.330 0.500
Hg1 0.118 0.618 0.000
```

Calculated values
Crystal system = tetragonal
Relative energy among the computed polymorphs = 17 meV per atom
Energy relative to the elements = -0.250 eV per atom
Electronic total energy = -30.868 eV per atom
Total magnetization = 0.00 μB/atom
Density = 5394 kg/m3

LiCo4Te: PBEsol geometry, SCAN.

Geometry as CIF:
```
data_LiCo4Te
_chemical_formula_sum 'Li4 Co16 Te4'
_space_group_name_H-M_alt 'F -4 3 m'
_space_group_IT_number 216
_space_group_name_Hall 'F -4 2 3'
_cell_length_a 6.766
_cell_length_b 6.766
_cell_length_c 6.766
_cell_angle_alpha 90.00
_cell_angle_beta 90.00
_cell_angle_gamma 90.00
loop_
_atom_site_label
_atom_site_fract_x
_atom_site_fract_y
_atom_site_fract_z
Li1 0.000 0.000 0.000
Co1 0.126 0.126 0.626
Te1 0.250 0.250 0.250
```

Calculated values
Crystal system = cubic
Electronic total energy = -17.963 eV per atom
Total magnetization = 1.17 μB/atom
Density = 7941 kg/m3

Sm6Al39Cr8: PBEsol geometry, SCAN.

Geometry as CIF:
```
data_Sm6Al39Cr8
_chemical_formula_sum 'Sm12 Al78 Cr16'
_space_group_name_H-M_alt 'P 63/m c m'
_space_group_IT_number 193
_space_group_name_Hall '-P 6c 2'
_cell_length_a 10.8755
_cell_length_b 10.8755
_cell_length_c 17.2317
_cell_angle_alpha 90.00
_cell_angle_beta 90.00
_cell_angle_gamma 120.00
loop_
_atom_site_label
_atom_site_fract_x
_atom_site_fract_y
_atom_site_fract_z
Sm1 0.0000 0.4678 0.0972
Al1 0.0000 0.1534 0.1162
Al2 0.0000 0.1531 0.7500
Al3 0.0000 0.2494 0.5286
Al4 0.1540 0.5496 0.2500
Al5 0.1669 0.3977 0.6613
Al6 0.2501 0.5003 0.0000
Cr1 0.0000 0.0000 0.0000
Cr2 0.0000 0.2580 0.2500
Cr3 0.3333 0.6667 0.1325
```

Calculated values
Crystal system = hexagonal
Energy relative to the elements = -0.329 eV per atom
Electronic total energy = -13.839 eV per atom
Total magnetization = 0.25 μB/atom
Density = 4460 kg/m3

V5O12: PBEsol geometry, SCAN.

Geometry as CIF:
```
data_V5O12
_chemical_formula_sum 'V20 O48'
_space_group_name_H-M_alt 'P b c n'
_space_group_IT_number 60
_cell_length_a 12.574
_cell_length_b 8.906
_cell_length_c 8.932
_cell_angle_alpha 90.00
_cell_angle_beta 90.00
_cell_angle_gamma 90.00
loop_
_space_group_symop_operation_xyz
'x,y,z'
'-x,-y,-z'
'-x+1/2,-y+1/2,z+1/2'
'x+1/2,y+1/2,-z+1/2'
'x+1/2,-y+1/2,-z'
'-x+1/2,y+1/2,z'
'-x,y,-z+1/2'
'x,-y,z+1/2'
loop_
_atom_site_label
_atom_site_fract_x
_atom_site_fract_y
_atom_site_fract_z
V1 0.000 0.024 0.250
V2 0.125 0.246 0.526
V3 0.140 0.393 0.885
O1 0.024 0.320 0.937
O2 0.069 0.139 0.372
O3 0.088 0.085 0.657
O4 0.141 0.416 0.413
O5 0.161 0.356 0.700
O6 0.243 0.317 0.996
```

Calculated values
Crystal system = orthorhombic
Relative energy among the computed polymorphs = 0 meV per atom
Electronic total energy = -12.030 eV per atom
Total magnetization = 0.06 μB/atom
Density = 2966 kg/m3

ZnRh2Pb: PBEsol geometry, SCAN.

Geometry as CIF:
```
data_ZnRh2Pb
_chemical_formula_sum 'Zn1 Rh2 Pb1'
_space_group_name_H-M_alt 'P 4/m m m'
_space_group_IT_number 123
_space_group_name_Hall '-P 4 2'
_cell_length_a 4.259
_cell_length_b 4.259
_cell_length_c 3.417
_cell_angle_alpha 90.00
_cell_angle_beta 90.00
_cell_angle_gamma 90.00
loop_
_atom_site_label
_atom_site_fract_x
_atom_site_fract_y
_atom_site_fract_z
Zn1 0.000 0.000 0.000
Rh1 0.000 0.500 0.500
Pb1 0.500 0.500 0.000
```

Calculated values
Crystal system = tetragonal
Energy relative to the elements = -0.112 eV per atom
Electronic total energy = -39.322 eV per atom
Total magnetization = 0.00 μB/atom
Density = 12820 kg/m3

CaHgIr2: PBEsol geometry, SCAN.

Geometry as CIF:
```
data_CaHgIr2
_chemical_formula_sum 'Ca2 Hg2 Ir4'
_space_group_name_H-M_alt 'I m m m'
_space_group_IT_number 71
_space_group_name_Hall '-I 2 2'
_cell_length_a 3.044
_cell_length_b 4.848
_cell_length_c 9.527
_cell_angle_alpha 90.00
_cell_angle_beta 90.00
_cell_angle_gamma 90.00
loop_
_atom_site_label
_atom_site_fract_x
_atom_site_fract_y
_atom_site_fract_z
Ca1 0.000 0.000 0.000
Hg1 0.000 0.000 0.500
Ir1 0.000 0.500 0.241
```

Calculated values
Crystal system = orthorhombic
Energy relative to the elements = 0.277 eV per atom
Electronic total energy = -54.730 eV per atom
Total magnetization = 0.00 μB/atom
Density = 14768 kg/m3

AlZn3: PBEsol geometry, SCAN.

Geometry as CIF:
```
data_AlZn3
_chemical_formula_sum 'Al3 Zn9'
_space_group_name_H-M_alt 'R -3 m'
_space_group_IT_number 166
_space_group_name_Hall '-R 3 2"'
_cell_length_a 2.8467
_cell_length_b 2.8467
_cell_length_c 25.2332
_cell_angle_alpha 90.00
_cell_angle_beta 90.00
_cell_angle_gamma 120.00
loop_
_atom_site_label
_atom_site_fract_x
_atom_site_fract_y
_atom_site_fract_z
Al1 0.0000 0.0000 0.0000
Zn1 0.0000 0.0000 0.2484
Zn2 0.0000 0.0000 0.5000
```

Calculated values
Crystal system = trigonal
Energy relative to the elements = 0.017 eV per atom
Electronic total energy = -12.058 eV per atom
Total magnetization = 0.00 μB/atom
Density = 6279 kg/m3